The following is a DFT calculation (PBE-GGA) of crystalline ZrScGaNi at its relaxed geometry.

- energy of formation from the pure elements (eV per atom) = -0.439
- volume (Å³/cell) = 71.1
- symmetry = F-43m
- crystal system = cubic

Cell: 4.6499 4.6499 4.6499 Å, 60.00 60.00 60.00°
Site moments in Bohr magnetons follow the coordinates.
Atoms (fractional coordinates):
Sc 0.5000 0.5000 0.5000  0.09
Ga 0.2500 0.2500 0.2500  0.01
Ni 0.7500 0.7500 0.7500  0.12
Zr 0.0000 0.0000 0.0000  0.12